Here is an optimized crystal structure of CsCoCuF6 from Alexandria. Energies are from PBE+U.

Summary:
Magnetization ... 0.556 μB/atom
Mass density ... 4.366 g/cm3
SG ... Imma
Final energy ... -4.424 eV/atom

The structure in POSCAR format:
```
CsCoCuF6
1.0
-3.6760 3.6890 5.1804
3.6760 -3.6890 5.1804
3.6760 3.6890 -5.1804
Cs Co Cu F
2 2 2 12
Cartesian
0.0000 1.8445 1.3147 Cs
3.6760 1.8445 3.8657 Cs
1.8380 1.8445 -2.5902 Co
1.8380 -1.8445 2.5902 Co
3.6760 0.0000 0.0000 Cu
0.0000 0.0000 5.1804 Cu
2.2120 -0.4247 1.3074 F
5.1400 -0.4247 1.3074 F
3.6760 -1.8445 3.3125 F
2.2120 3.2643 -1.3074 F
1.4640 -0.4247 3.8730 F
3.6760 1.8445 0.7166 F
0.0000 1.8445 4.4638 F
2.2120 4.1137 1.3074 F
1.4640 0.4247 6.4878 F
0.0000 5.5335 1.8679 F
-1.4640 4.1137 3.8730 F
1.4640 4.1137 3.8730 F
```